## TaReBr (PBE)

Data for crystalline TaReBr at its relaxed geometry.

* raw formation energy: 2.671 eV/f.u.
* uncorrected energy: -7.7676 eV/atom
* volume: 52.22 Å³ per cell

abc: 4.803 4.803 4.803
angles: 143.06 127.33 66.07
Fractional coordinates of all 3 atoms:
Ta 0.671 0.671 0.000
Re 0.329 0.329 0.000
Br 0.000 0.000 0.000



## LiDyThIn (PBE)

Data for crystalline LiDyThIn at its relaxed geometry.

* uncorrected energy: -4.2918 eV/atom
* energy of formation from the pure elements: -0.49 eV per formula unit
* volume: 107.29 Å³ per cell

abc: 5.334 5.334 5.334
angles: 60.00 60.00 60.00
Fractional coordinates of all 4 atoms:
In 0.500 0.500 0.500
Li 0.000 0.000 0.000
Dy 0.750 0.750 0.750
Th 0.250 0.250 0.250



## LiPm2Sn3 (PBE)

Data for crystalline LiPm2Sn3 at its relaxed geometry.

* uncorrected energy: -4.3404 eV/atom
* energy of formation from the pure elements: -2.62 eV per formula unit
* volume: 169.26 Å³ per cell

abc: 3.565 5.478 9.263
angles: 107.20 101.09 90.00
Fractional coordinates of all 6 atoms:
Sn 0.161 0.161 0.323
Pm 0.344 0.344 0.688
Sn 0.000 0.500 0.000
Li 0.000 0.000 0.000
Sn 0.839 0.839 0.677
Pm 0.656 0.656 0.312



## Ga2GeI8 (PBE)

Data for crystalline Ga2GeI8 at its relaxed geometry.

* raw formation energy: -4.897 eV/f.u.
* uncorrected energy: -2.5426 eV/atom
* volume: 1080.69 Å³ per cell

abc: 9.794 11.591 11.712
angles: 72.08 65.28 65.01
Fractional coordinates of all 22 atoms:
I 0.313 0.259 0.051
Ga 0.160 0.138 0.036
I 0.291 0.047 0.820
I 0.192 0.209 0.475
I 0.377 0.759 0.551
I 0.860 0.050 0.773
Ga 0.334 0.362 0.464
I 0.709 0.953 0.180
Ge 0.019 0.250 0.750
I 0.842 0.547 0.320
I 0.318 0.550 0.273
I 0.158 0.453 0.680
I 0.687 0.741 0.949
Ge 0.981 0.750 0.250
I 0.876 0.291 0.025
I 0.682 0.450 0.727
I 0.808 0.791 0.525
Ga 0.840 0.862 0.964
I 0.140 0.950 0.227
Ga 0.666 0.638 0.536
I 0.124 0.709 0.975
I 0.623 0.241 0.449



## Cu2ReSe (PBE)

Data for crystalline Cu2ReSe at its relaxed geometry.

* raw formation energy: 2.065 eV/f.u.
* uncorrected energy: -5.5149 eV/atom
* volume: 57.61 Å³ per cell

abc: 4.923 4.923 2.682
angles: 89.99 89.99 117.57
Fractional coordinates of all 4 atoms:
Cu 0.000 0.000 0.000
Se 0.000 0.500 0.500
Cu 0.500 0.500 0.000
Re 0.500 0.000 0.500



## TmThInAg (PBE)

Data for crystalline TmThInAg at its relaxed geometry.

* uncorrected energy: -4.5906 eV/atom
* energy of formation from the pure elements: -0.88 eV per formula unit
* volume: 106.04 Å³ per cell

abc: 5.313 5.313 5.313
angles: 60.00 60.00 60.00
Fractional coordinates of all 4 atoms:
Th 0.000 0.000 0.000
Ag 0.250 0.250 0.250
In 0.750 0.750 0.750
Tm 0.500 0.500 0.500



## ZnCrSN2 (PBE)

Data for crystalline ZnCrSN2 at its relaxed geometry.

* raw formation energy: 1.640 eV/f.u.
* uncorrected energy: -6.0071 eV/atom
* volume: 66.70 Å³ per cell

abc: 3.606 3.606 5.129
angles: 90.00 90.00 90.00
Fractional coordinates of all 5 atoms:
Cr 0.000 0.000 0.000
N 0.000 0.500 0.000
Zn 0.500 0.500 0.500
S 0.000 0.000 0.500
N 0.500 0.000 0.000



## Np2ZnBi (PBE)

Data for crystalline Np2ZnBi at its relaxed geometry.

* uncorrected energy: -7.5745 eV/atom
* energy of formation from the pure elements: 0.74 eV per formula unit
* volume: 95.87 Å³ per cell

abc: 4.811 4.464 4.464
angles: 90.00 90.00 90.00
Fractional coordinates of all 4 atoms:
Bi 0.500 0.000 0.000
Zn 0.500 0.500 0.500
Np 0.000 0.500 0.000
Np 0.000 0.000 0.500



## PmPuGe2O8 (PBE)

Data for crystalline PmPuGe2O8 at its relaxed geometry.

* raw formation energy: -27.659 eV/f.u.
* uncorrected energy: -7.9702 eV/atom
* volume: 165.72 Å³ per cell

abc: 6.006 6.006 6.006
angles: 106.94 106.94 114.65
Fractional coordinates of all 12 atoms:
Pm 0.000 0.000 0.000
O 0.940 0.263 0.323
Pu 0.250 0.750 0.500
O 0.323 0.133 0.809
Ge 0.750 0.250 0.500
O 0.383 0.060 0.323
O 0.323 0.514 0.191
O 0.867 0.677 0.191
O 0.940 0.617 0.677
O 0.737 0.060 0.677
O 0.486 0.677 0.809
Ge 0.500 0.500 0.000



## NaPaBi6 (PBE)

Data for crystalline NaPaBi6 at its relaxed geometry.

* uncorrected energy: -4.3904 eV/atom
* energy of formation from the pure elements: -1.02 eV per formula unit
* volume: 238.64 Å³ per cell

abc: 4.836 4.836 10.205
angles: 90.00 90.00 90.00
Fractional coordinates of all 8 atoms:
Bi 0.500 0.000 0.748
Bi 0.500 0.000 0.252
Bi 0.500 0.500 0.500
Na 0.000 0.000 0.000
Bi 0.000 0.500 0.748
Bi 0.000 0.500 0.252
Pa 0.000 0.000 0.500
Bi 0.500 0.500 0.000



## Ti3ZnN (PBE)

Data for crystalline Ti3ZnN at its relaxed geometry.

* raw formation energy: -0.094 eV/f.u.
* uncorrected energy: -6.6755 eV/atom
* volume: 108.91 Å³ per cell

abc: 2.844 7.283 7.283
angles: 133.78 90.00 90.00
Fractional coordinates of all 5 atoms:
N 0.000 0.432 0.568
Ti 0.000 0.269 0.731
Zn 0.500 0.090 0.910
Ti 0.500 0.659 0.821
Ti 0.500 0.179 0.341



## MoIr3 (PBE)

Data for crystalline MoIr3 at its relaxed geometry.

* uncorrected energy: -9.4878 eV/atom
* energy of formation from the pure elements: -0.54 eV per formula unit
* volume: 59.15 Å³ per cell

abc: 2.744 2.744 7.855
angles: 90.00 90.00 90.00
Fractional coordinates of all 4 atoms:
Ir 0.000 0.000 0.501
Ir 0.000 0.000 0.999
Ir 0.500 0.500 0.750
Mo 0.500 0.500 0.250



## BaCdOs2O8 (PBE)

Data for crystalline BaCdOs2O8 at its relaxed geometry.

* raw formation energy: -14.652 eV/f.u.
* uncorrected energy: -6.6346 eV/atom
* volume: 232.94 Å³ per cell

abc: 5.904 5.904 7.717
angles: 90.00 90.00 120.00
Fractional coordinates of all 12 atoms:
Os 0.333 0.667 0.761
Os 0.667 0.333 0.239
O 0.333 0.667 0.995
Cd 0.000 0.000 0.500
O 0.324 0.195 0.294
O 0.871 0.676 0.294
Ba 0.000 0.000 0.000
O 0.805 0.129 0.294
O 0.129 0.324 0.706
O 0.195 0.871 0.706
O 0.676 0.805 0.706
O 0.667 0.333 0.005



## TaCuTe2I (PBE)

Data for crystalline TaCuTe2I at its relaxed geometry.

* raw formation energy: 2.928 eV/f.u.
* uncorrected energy: -4.1708 eV/atom
* volume: 163.39 Å³ per cell

abc: 5.374 5.374 5.657
angles: 90.00 90.00 90.00
Fractional coordinates of all 5 atoms:
I 0.000 0.000 0.500
Te 0.000 0.500 0.000
Te 0.500 0.000 0.000
Cu 0.500 0.500 0.500
Ta 0.000 0.000 0.000



## Cd2Ru2O (PBE)

Data for crystalline Cd2Ru2O at its relaxed geometry.

* raw formation energy: 0.810 eV/f.u.
* uncorrected energy: -4.9061 eV/atom
* volume: 158.32 Å³ per cell

abc: 5.612 5.612 5.027
angles: 90.00 90.00 90.00
Fractional coordinates of all 10 atoms:
Ru 0.174 0.326 0.000
Cd 0.328 0.172 0.500
Cd 0.828 0.328 0.500
Cd 0.172 0.672 0.500
Ru 0.826 0.674 0.000
Ru 0.674 0.174 0.000
O 0.500 0.500 0.000
Ru 0.326 0.826 0.000
Cd 0.672 0.828 0.500
O 0.000 0.000 0.000



## TbPrHo (PBE)

Data for crystalline TbPrHo at its relaxed geometry.

* uncorrected energy: -4.6393 eV/atom
* energy of formation from the pure elements: 0.07 eV per formula unit
* volume: 99.14 Å³ per cell

abc: 3.606 3.606 8.041
angles: 102.96 102.96 90.00
Fractional coordinates of all 3 atoms:
Ho 0.669 0.669 0.337
Tb 0.331 0.331 0.662
Pr 0.000 0.000 0.001



## Tb2PmNi2 (PBE)

Data for crystalline Tb2PmNi2 at its relaxed geometry.

* uncorrected energy: -5.4271 eV/atom
* energy of formation from the pure elements: -1.56 eV per formula unit
* volume: 116.75 Å³ per cell

abc: 3.676 4.374 7.584
angles: 106.76 90.00 90.00
Fractional coordinates of all 5 atoms:
Pm 0.000 0.000 0.000
Ni 0.000 0.198 0.396
Tb 0.500 0.655 0.310
Tb 0.500 0.345 0.690
Ni 0.000 0.802 0.604



## Th2GaSe (PBE)

Data for crystalline Th2GaSe at its relaxed geometry.

* raw formation energy: -3.584 eV/f.u.
* uncorrected energy: -6.2338 eV/atom
* volume: 99.46 Å³ per cell

abc: 3.540 3.540 7.938
angles: 90.00 90.00 90.00
Fractional coordinates of all 4 atoms:
Th 0.000 0.000 0.245
Se 0.500 0.500 0.000
Ga 0.500 0.500 0.500
Th 0.000 0.000 0.755



## SrIn2W (PBE)

Data for crystalline SrIn2W at its relaxed geometry.

* uncorrected energy: -4.3896 eV/atom
* energy of formation from the pure elements: 2.55 eV per formula unit
* volume: 92.01 Å³ per cell

abc: 7.124 5.686 3.048
angles: 89.95 64.75 120.81
Fractional coordinates of all 4 atoms:
W 0.500 0.500 0.000
In 0.500 0.000 0.500
Sr 0.000 0.500 0.500
In 0.000 0.000 0.000



## TcSnGeSb2 (PBE)

Data for crystalline TcSnGeSb2 at its relaxed geometry.

* raw formation energy: 6.343 eV/f.u.
* uncorrected energy: -4.1775 eV/atom
* volume: 145.48 Å³ per cell

abc: 5.312 5.157 5.312
angles: 90.00 90.00 90.00
Fractional coordinates of all 5 atoms:
Tc 0.500 0.500 0.500
Sb 0.500 0.000 0.000
Sn 0.000 0.500 0.000
Ge 0.000 0.000 0.000
Sb 0.000 0.000 0.500



## CsPmSb2 (PBE)

Data for crystalline CsPmSb2 at its relaxed geometry.

* raw formation energy: -0.950 eV/f.u.
* uncorrected energy: -3.6998 eV/atom
* volume: 138.51 Å³ per cell

abc: 5.808 5.808 5.808
angles: 60.00 60.00 60.00
Fractional coordinates of all 4 atoms:
Sb 0.250 0.250 0.250
Cs 0.500 0.500 0.500
Sb 0.750 0.750 0.750
Pm 0.000 0.000 0.000



## Ta2H2Pd (PBE)

Data for crystalline Ta2H2Pd at its relaxed geometry.

* uncorrected energy: -7.2067 eV/atom
* volume: 56.72 Å³ per cell

abc: 3.554 3.554 5.145
angles: 69.79 69.79 90.00
Fractional coordinates of all 5 atoms:
Ta 0.343 0.343 0.314
Pd 0.000 0.000 0.000
H 0.250 0.750 0.500
H 0.750 0.250 0.500
Ta 0.657 0.657 0.686



## Cs8Au4Br (PBE)

Data for crystalline Cs8Au4Br at its relaxed geometry.

* raw formation energy: -5.974 eV/f.u.
* uncorrected energy: -2.1219 eV/atom
* volume: 674.70 Å³ per cell

abc: 12.411 12.411 8.771
angles: 90.00 135.03 120.00
Fractional coordinates of all 13 atoms:
Cs 0.000 0.746 0.746
Cs 0.000 0.746 0.254
Au 0.500 0.000 0.000
Au 0.000 0.000 0.000
Cs 0.000 0.254 0.254
Cs 0.492 0.746 0.746
Br 0.000 0.500 0.500
Au 0.000 0.500 0.000
Cs 0.000 0.254 0.746
Au 0.500 0.500 0.000
Cs 0.492 0.746 0.238
Cs 0.508 0.254 0.254
Cs 0.508 0.254 0.762



## YHgAu2 (PBE)

Data for crystalline YHgAu2 at its relaxed geometry.

* uncorrected energy: -3.7931 eV/atom
* energy of formation from the pure elements: -1.85 eV per formula unit
* volume: 87.76 Å³ per cell

abc: 3.695 3.698 6.421
angles: 90.00 90.00 90.00
Fractional coordinates of all 4 atoms:
Au 0.500 0.500 0.248
Hg 0.000 0.000 0.476
Y 0.500 0.500 0.772
Au 0.000 0.000 0.004



## CdSiMo2 (PBE)

Data for crystalline CdSiMo2 at its relaxed geometry.

* raw formation energy: 0.697 eV/f.u.
* uncorrected energy: -6.8259 eV/atom
* volume: 67.93 Å³ per cell

abc: 3.164 3.164 6.787
angles: 90.00 90.00 90.00
Fractional coordinates of all 4 atoms:
Mo 0.500 0.500 0.263
Si 0.000 0.000 0.448
Cd 0.500 0.500 0.746
Mo 0.000 0.000 0.043



## SiSb (PBE)

Data for crystalline SiSb at its relaxed geometry.

* raw formation energy: 0.725 eV/f.u.
* uncorrected energy: -4.4102 eV/atom
* volume: 189.47 Å³ per cell

abc: 4.097 4.097 13.033
angles: 90.00 90.00 120.00
Fractional coordinates of all 8 atoms:
Sb 0.667 0.333 0.932
Si 0.000 0.000 0.250
Sb 0.333 0.667 0.432
Sb 0.333 0.667 0.068
Si 0.000 0.000 0.750
Sb 0.667 0.333 0.568
Si 0.667 0.333 0.250
Si 0.333 0.667 0.750